No. 1
Here is a relaxed structure of TcTe2Rh from Alexandria. Energies are from GGA-PBEsol.

Geometry as POSCAR:
```
TcTe2Rh
1.0
1.6244 0.9379 8.7676
-1.6244 0.9379 8.7676
0.0000 -1.8757 8.7676
Tc Te Rh
1 2 1
Direct
0.0000 0.0000 0.0000
0.4057 0.4057 0.4057
0.5943 0.5943 0.5943
0.5000 0.5000 0.5000
```

Calculated values
The density of states at the Fermi level is 4.068 states/eV/f.u. As for the uncorrected energy: -25.10 eV per formula unit. The energy above the most stable polymorph in this dataset is 178 meV/atom.

=====

No. 2
Here is a relaxed structure of TcTe2Rh from Alexandria. Energies are from GGA-PBEsol.

Geometry as POSCAR:
```
TcTe2Rh
1.0
3.3027 0.0000 0.0000
0.0000 3.3027 0.0000
0.0000 0.0000 6.5142
Tc Te Rh
1 2 1
Direct
0.0000 0.0000 0.0000
0.5000 0.5000 0.2492
0.5000 0.5000 0.7508
0.0000 0.0000 0.5000
```

Calculated values
The density of states at the Fermi level is 3.595 states/eV/f.u. As for the uncorrected energy: -25.81 eV per formula unit. The energy above the most stable polymorph in this dataset is 0 meV/atom.